DFT (PBE) results for crystalline YTm2CdO at its relaxed geometry.

The structure belongs to space group P4/mmm (No. 123); the cell edges are 4.712, 4.712 and 4.800 Å and the angles 90.00°, 90.00° and 90.00°. The asymmetric unit holds Y at (0.000, 0.000, 0.000), Tm at (0.000, 0.500, 0.500), Cd at (0.500, 0.500, 0.000) and O at (0.000, 0.000, 0.500).

For the energy relative to the elements, uncorrected, the calculation gives -1323 meV/atom.

***

DFT (PBE) results for crystalline U3Cd5O12 at its relaxed geometry.

The structure belongs to space group Ia-3d (No. 230); the cell edges are 13.158, 13.158 and 13.158 Å and the angles 90.00°, 90.00° and 90.00°. The asymmetric unit holds U at (0.000, 0.250, 0.125), Cd at (0.000, 0.000, 0.000), Cd at (0.000, 0.250, 0.375) and O at (0.017, 0.078, 0.654).

For the energy relative to the elements, uncorrected, the calculation gives -1893 meV/atom.

***

DFT (PBE) results for crystalline UCd6O8 at its relaxed geometry.

The structure belongs to space group Fm-3m (No. 225); the cell edges are 9.697, 9.697 and 9.697 Å and the angles 90.00°, 90.00° and 90.00°. The asymmetric unit holds U at (0.000, 0.000, 0.000), Cd at (0.000, 0.250, 0.250), O at (0.000, 0.000, 0.225) and O at (0.250, 0.250, 0.250).

For the energy relative to the elements, uncorrected, the calculation gives -1442 meV/atom.

***

DFT (PBE) results for crystalline UCd3O6 at its relaxed geometry.

The structure belongs to space group P2_1/c (No. 14); the cell edges are 5.740, 5.826 and 10.154 Å and the angles 90.00°, 123.68° and 90.00°. The asymmetric unit holds U at (0.000, 0.000, 0.000), Cd at (0.261, 0.039, 0.756), Cd at (0.500, 0.000, 0.500), O at (0.079, 0.198, 0.425), O at (0.256, 0.667, 0.445) and O at (0.353, 0.085, 0.238).

Its energy above the lowest structure with this stoichiometry is 8.6 meV/atom. For the energy relative to the elements, uncorrected, the calculation gives -1865 meV/atom.

***

DFT (PBE) results for crystalline UCd3O6 at its relaxed geometry.

The structure belongs to space group R-3 (No. 148, hexagonal axes); the cell edges are 9.5928, 9.5928 and 11.3767 Å and the angles 90.00°, 90.00° and 120.00°. The asymmetric unit holds U at (0.0000, 0.0000, 0.0000), U at (0.0000, 0.0000, 0.5000), Cd at (0.0400, 0.7715, 0.2103), O at (0.0208, 0.8369, 0.8878) and O at (0.0266, 0.8296, 0.4005).

Its energy above the lowest structure with this stoichiometry is 0.0 meV/atom. For the energy relative to the elements, uncorrected, the calculation gives -1874 meV/atom.

***

DFT (PBE) results for crystalline U2Cd2O7 at its relaxed geometry.

The structure belongs to space group Fd-3m (No. 227, origin choice 2); the cell edges are 11.090, 11.090 and 11.090 Å and the angles 90.00°, 90.00° and 90.00°. The asymmetric unit holds U at (0.000, 0.000, 0.000), Cd at (0.000, 0.000, 0.500), O at (0.075, 0.375, 0.375) and O at (0.125, 0.125, 0.625).

For the energy relative to the elements, uncorrected, the calculation gives -2372 meV/atom.